Density functional theory data (PBE) for a geometry-optimized Li2ZnHPb structure.

a = 4.234 Å, b = 4.234 Å, c = 4.589 Å
α = 90.00°, β = 90.00°, γ = 90.00°
Atoms (fractional coordinates):
Li 0.000 0.500 0.000
Li 0.500 0.000 0.000
Zn 0.000 0.000 0.500
H 0.500 0.500 0.000
Pb 0.500 0.500 0.500

Output
For the energy above the most stable polymorph in this dataset, the calculation gives 0.1167 eV/atom. Its density is 5.8 g/cm3. As for the space group: P4/mmm (123). The value obtained for the total energy is -12.4 eV/cell.

=====

Density functional theory data (PBE) for a geometry-optimized Ac2GdHg structure.

a = 8.239 Å, b = 8.239 Å, c = 8.239 Å
α = 90.00°, β = 90.00°, γ = 90.00°
Atoms (fractional coordinates):
Ac 0.250 0.250 0.250
Ac 0.250 0.250 0.750
Ac 0.250 0.750 0.250
Ac 0.250 0.750 0.750
Ac 0.750 0.250 0.250
Ac 0.750 0.250 0.750
Ac 0.750 0.750 0.250
Ac 0.750 0.750 0.750
Gd 0.000 0.000 0.000
Gd 0.000 0.500 0.500
Gd 0.500 0.000 0.500
Gd 0.500 0.500 0.000
Hg 0.000 0.000 0.500
Hg 0.000 0.500 0.000
Hg 0.500 0.000 0.000
Hg 0.500 0.500 0.500

Output
For the energy above the most stable polymorph in this dataset, the calculation gives 0.1421 eV/atom. Its density is 9.6 g/cm3. As for the space group: Fm-3m (225). The value obtained for the total energy is -91.4 eV/cell.

=====

Density functional theory data (PBE) for a geometry-optimized MgZrRh2 structure.

a = 6.466 Å, b = 6.466 Å, c = 6.466 Å
α = 90.00°, β = 90.00°, γ = 90.00°
Atoms (fractional coordinates):
Mg 0.000 0.000 0.000
Mg 0.000 0.500 0.500
Mg 0.500 0.000 0.500
Mg 0.500 0.500 0.000
Zr 0.250 0.250 0.250
Zr 0.250 0.750 0.750
Zr 0.750 0.250 0.750
Zr 0.750 0.750 0.250
Rh 0.000 0.000 0.500
Rh 0.000 0.500 0.000
Rh 0.250 0.250 0.750
Rh 0.250 0.750 0.250
Rh 0.500 0.000 0.000
Rh 0.500 0.500 0.500
Rh 0.750 0.250 0.250
Rh 0.750 0.750 0.750

Output
Its density is 7.9 g/cm3. As for the space group: F-43m (216). The value obtained for the total energy is -103.1 eV/cell.

=====

Density functional theory data (PBE) for a geometry-optimized Ba4TlI3 structure.

a = 8.794 Å, b = 10.228 Å, c = 8.829 Å
α = 90.00°, β = 109.03°, γ = 90.00°
Atoms (fractional coordinates):
Ba 0.232 0.111 0.003
Ba 0.232 0.889 0.503
Ba 0.233 0.363 0.481
Ba 0.233 0.637 0.981
Ba 0.767 0.363 0.019
Ba 0.767 0.637 0.519
Ba 0.768 0.111 0.497
Ba 0.768 0.889 0.997
Tl 0.000 0.129 0.250
Tl 0.000 0.871 0.750
I 0.000 0.375 0.750
I 0.000 0.625 0.250
I 0.500 0.140 0.750
I 0.500 0.388 0.250
I 0.500 0.612 0.750
I 0.500 0.860 0.250

Output
Its density is 5.0 g/cm3. The calculation puts the uncorrected formation energy at -1.1177 eV per atom. As for the space group: P2/c (13). The value obtained for the total energy is -47.3 eV/cell.

=====

Q: Among the records above, which one has the lowest density?
A: Ba4TlI3

=====

Q: Which of these has the highest density?
A: Ac2GdHg